Here is a relaxed TcC3 crystal from Alexandria. Energies are from PBE.

```
4
Lattice="2.678 0.000 0.000 -1.339 2.319 0.000 0.000 0.000 5.298" Properties=species:S:1:pos:R:3 pbc="T T T"
Tc 0.000 0.000 0.000
C 0.000 0.000 2.649
C 0.000 1.546 1.615
C 0.000 1.546 3.684
```

Computed properties:
The space group is P-6m2, No. 187.



Here is a relaxed Tc3C crystal from Alexandria. Energies are from PBE.

```
8
Lattice="2.876 -4.462 0.000 2.876 4.462 0.000 0.000 0.000 4.107" Properties=species:S:1:pos:R:3 pbc="T T T"
Tc 1.486 0.768 3.081
Tc 2.876 2.788 3.081
Tc 1.486 -0.768 1.027
Tc 4.266 0.768 3.081
Tc 2.876 -2.788 1.027
Tc 4.266 -0.768 1.027
C 2.876 0.810 1.027
C 2.876 -0.810 3.081
```

Computed properties:
The space group is Cmcm, No. 63.



Here is a relaxed TcC crystal from Alexandria. Energies are from PBE.

```
4
Lattice="0.000 2.808 2.808 2.808 0.000 2.808 2.808 2.808 0.000" Properties=species:S:1:pos:R:3 pbc="T T T"
Tc 0.702 0.702 0.702
Tc 4.914 4.914 4.914
C 2.106 2.106 2.106
C 3.510 3.510 3.510
```

Computed properties:
The space group is Fd-3m, No. 227.



| no. | distance to the lowest polymorph of the same formula (kJ/mol of formula units) |
| --- | --- |
| 1 | 539 |
| 2 | 334 |
| 3 | 345 |